Compound: Na2TlH
Source: Alexandria via LeMat-Bulk
Functional: PBE
Structure: optimized geometry

a = 3.215 Å, b = 3.215 Å, c = 8.140 Å
α = 90.00°, β = 90.00°, γ = 90.00°
Fractional coordinates of all 4 atoms:
Na1 0.000 0.000 0.818
Na2 0.000 0.000 0.182
Tl1 0.500 0.500 0.500
H1 0.500 0.500 0.000

Summary:
* raw total energy: -2.1077 eV per atom
* polymorph energy (0 for the lowest one): 0.077 eV/atom
* size of the total moment: 0.00 μB per formula unit

***

Compound: NaTlZnH4
Source: Alexandria via LeMat-Bulk
Functional: PBE
Structure: optimized geometry

a = 5.882 Å, b = 5.882 Å, c = 6.914 Å
α = 90.00°, β = 90.00°, γ = 113.46°
Fractional coordinates of all 14 atoms:
H1 0.162 0.247 0.750
H2 0.243 0.757 0.446
H3 0.838 0.753 0.250
H4 0.247 0.162 0.250
H5 0.757 0.243 0.946
H6 0.757 0.243 0.554
H7 0.243 0.757 0.054
H8 0.753 0.838 0.750
Zn1 0.853 0.147 0.750
Zn2 0.147 0.853 0.250
Tl1 0.500 0.500 0.000
Tl2 0.500 0.500 0.500
Na1 0.158 0.842 0.750
Na2 0.842 0.158 0.250

Summary:
* raw total energy: -2.5791 eV per atom
* size of the total moment: 0.00 μB per formula unit

***

Compound: NaTm2H
Source: Alexandria via LeMat-Bulk
Functional: PBE
Structure: optimized geometry

a = 3.480 Å, b = 3.480 Å, c = 9.679 Å
α = 79.64°, β = 79.64°, γ = 60.00°
Fractional coordinates of all 4 atoms:
H1 0.500 0.500 0.500
Na1 0.000 0.000 0.000
Tm1 0.879 0.879 0.363
Tm2 0.121 0.121 0.637

Summary:
* raw total energy: -3.4158 eV per atom
* size of the total moment: 0.00 μB per formula unit

***

Compound: Na2TmH6
Source: Alexandria via LeMat-Bulk
Functional: PBE
Structure: optimized geometry

a = 5.564 Å, b = 5.564 Å, c = 5.564 Å
α = 60.00°, β = 60.00°, γ = 60.00°
Fractional coordinates of all 9 atoms:
H1 0.265 0.735 0.735
H2 0.735 0.265 0.735
H3 0.735 0.735 0.265
H4 0.265 0.735 0.265
H5 0.735 0.265 0.265
H6 0.265 0.265 0.735
Na1 0.750 0.750 0.750
Na2 0.250 0.250 0.250
Tm1 0.000 0.000 0.000

Summary:
* raw total energy: -2.8075 eV per atom
* size of the total moment: 0.00 μB per formula unit

***

Compound: Na5U3H12
Source: Alexandria via LeMat-Bulk
Functional: PBE
Structure: optimized geometry

a = 11.138 Å, b = 11.138 Å, c = 11.138 Å
α = 109.47°, β = 109.47°, γ = 109.47°
Fractional coordinates of all 80 atoms:
H1 0.083 0.915 0.149
H2 0.934 0.351 0.266
H3 0.085 0.168 0.234
H4 0.583 0.934 0.668
H5 0.832 0.915 0.266
H6 0.917 0.832 0.566
H7 0.332 0.766 0.415
H8 0.417 0.351 0.585
H9 0.585 0.851 0.417
H10 0.915 0.832 0.766
H11 0.415 0.149 0.583
H12 0.766 0.332 0.915
H13 0.351 0.417 0.085
H14 0.851 0.266 0.434
H15 0.934 0.583 0.168
H16 0.434 0.668 0.083
H17 0.851 0.585 0.917
H18 0.149 0.734 0.566
H19 0.266 0.851 0.934
H20 0.917 0.085 0.851
H21 0.734 0.585 0.168
H22 0.351 0.934 0.766
H23 0.649 0.066 0.234
H24 0.066 0.649 0.734
H25 0.766 0.434 0.351
H26 0.583 0.649 0.415
H27 0.915 0.083 0.649
H28 0.415 0.266 0.332
H29 0.417 0.066 0.332
H30 0.149 0.415 0.083
H31 0.734 0.149 0.066
H32 0.083 0.168 0.434
H33 0.649 0.583 0.915
H34 0.234 0.566 0.649
H35 0.566 0.332 0.917
H36 0.266 0.415 0.832
H37 0.434 0.766 0.851
H38 0.168 0.085 0.734
H39 0.832 0.917 0.066
H40 0.585 0.734 0.668
H41 0.332 0.566 0.417
H42 0.668 0.234 0.585
H43 0.066 0.417 0.832
H44 0.566 0.234 0.149
H45 0.234 0.668 0.085
H46 0.085 0.917 0.351
H47 0.668 0.434 0.583
H48 0.168 0.083 0.934
U1 0.625 0.375 0.750
U2 0.750 0.875 0.625
U3 0.125 0.875 0.750
U4 0.250 0.125 0.375
U5 0.750 0.375 0.125
U6 0.875 0.750 0.125
U7 0.250 0.625 0.875
U8 0.375 0.625 0.250
U9 0.875 0.125 0.250
U10 0.125 0.250 0.875
U11 0.625 0.250 0.375
U12 0.375 0.750 0.625
Na1 0.250 0.875 0.125
Na2 0.750 0.625 0.375
Na3 0.625 0.875 0.250
Na4 0.000 0.000 0.000
Na5 0.625 0.750 0.875
Na6 0.500 0.500 0.000
Na7 0.250 0.375 0.625
Na8 0.125 0.750 0.375
Na9 0.875 0.625 0.750
Na10 0.375 0.125 0.750
Na11 0.500 0.000 0.500
Na12 0.500 0.500 0.500
Na13 0.125 0.375 0.250
Na14 0.000 0.500 0.500
Na15 0.000 0.500 0.000
Na16 0.500 0.000 0.000
Na17 0.000 0.000 0.500
Na18 0.375 0.250 0.125
Na19 0.750 0.125 0.875
Na20 0.875 0.250 0.625

Summary:
* raw total energy: -4.0204 eV per atom
* size of the total moment: 9.45 μB per formula unit

***

Compound: NaVH2
Source: Alexandria via LeMat-Bulk
Functional: PBE
Structure: optimized geometry

a = 3.934 Å, b = 3.934 Å, c = 3.934 Å
α = 60.00°, β = 60.00°, γ = 60.00°
Fractional coordinates of all 4 atoms:
H1 0.750 0.750 0.750
H2 0.250 0.250 0.250
V1 0.500 0.500 0.500
Na1 0.000 0.000 0.000

Summary:
* raw total energy: -3.6131 eV per atom
* polymorph energy (0 for the lowest one): 0.664 eV/atom
* size of the total moment: 3.54 μB per formula unit

***

Compound: NaVH
Source: Alexandria via LeMat-Bulk
Functional: PBE
Structure: optimized geometry

a = 2.826 Å, b = 2.817 Å, c = 10.993 Å
α = 90.00°, β = 90.00°, γ = 120.11°
Fractional coordinates of all 6 atoms:
H1 0.608 0.215 0.000
H2 0.280 0.561 0.500
Na1 0.615 0.230 0.637
Na2 0.615 0.230 0.363
V1 0.274 0.548 0.112
V2 0.274 0.548 0.888

Summary:
* raw total energy: -4.2546 eV per atom
* size of the total moment: 0.00 μB per formula unit

***

Compound: NaVH2
Source: Alexandria via LeMat-Bulk
Functional: PBE
Structure: optimized geometry

a = 5.053 Å, b = 5.053 Å, c = 4.903 Å
α = 58.99°, β = 58.99°, γ = 90.00°
Fractional coordinates of all 8 atoms:
H1 0.875 0.947 0.750
H2 0.697 0.125 0.250
H3 0.053 0.625 0.250
H4 0.375 0.303 0.750
V1 0.750 0.250 0.500
V2 0.000 0.000 0.000
Na1 0.500 0.500 0.000
Na2 0.250 0.750 0.500

Summary:
* raw total energy: -4.0666 eV per atom
* polymorph energy (0 for the lowest one): 0.211 eV/atom
* size of the total moment: 0.00 μB per formula unit

***

Compound: Na3VH
Source: Alexandria via LeMat-Bulk
Functional: PBE
Structure: optimized geometry

a = 4.839 Å, b = 4.839 Å, c = 4.839 Å
α = 90.00°, β = 90.00°, γ = 90.00°
Fractional coordinates of all 5 atoms:
Na1 0.000 0.000 0.500
Na2 0.000 0.500 0.000
Na3 0.500 0.000 0.000
H1 0.000 0.000 0.000
V1 0.500 0.500 0.500

Summary:
* raw total energy: -2.6762 eV per atom
* size of the total moment: 5.03 μB per formula unit

***

Compound: NaVH2
Source: Alexandria via LeMat-Bulk
Functional: PBE
Structure: optimized geometry

a = 2.882 Å, b = 2.882 Å, c = 5.750 Å
α = 75.49°, β = 75.49°, γ = 60.00°
Fractional coordinates of all 4 atoms:
H1 0.719 0.719 0.842
H2 0.281 0.281 0.158
V1 0.000 0.000 0.000
Na1 0.500 0.500 0.500

Summary:
* raw total energy: -4.2773 eV per atom
* polymorph energy (0 for the lowest one): 0.000 eV/atom
* size of the total moment: 0.56 μB per formula unit

***

Compound: NaZrVH2
Source: Alexandria via LeMat-Bulk
Functional: PBE
Structure: optimized geometry

a = 3.816 Å, b = 5.075 Å, c = 3.816 Å
α = 90.00°, β = 90.00°, γ = 90.00°
Fractional coordinates of all 5 atoms:
H1 0.500 0.000 0.000
H2 0.000 0.000 0.500
Zr1 0.500 0.500 0.500
Na1 0.000 0.500 0.000
V1 0.000 0.000 0.000

Summary:
* raw total energy: -4.0740 eV per atom
* size of the total moment: 2.35 μB per formula unit

***

Compound: NaH2W
Source: Alexandria via LeMat-Bulk
Functional: PBE
Structure: optimized geometry

a = 3.825 Å, b = 3.825 Å, c = 3.825 Å
α = 60.00°, β = 60.00°, γ = 60.00°
Fractional coordinates of all 4 atoms:
H1 0.250 0.250 0.250
H2 0.750 0.750 0.750
W1 0.500 0.500 0.500
Na1 0.000 0.000 0.000

Summary:
* raw total energy: -3.8394 eV per atom
* polymorph energy (0 for the lowest one): 1.003 eV/atom
* size of the total moment: 0.00 μB per formula unit

***

Compound: Na3H8W
Source: Alexandria via LeMat-Bulk
Functional: PBE
Structure: optimized geometry

a = 5.561 Å, b = 5.596 Å, c = 5.561 Å
α = 60.21°, β = 90.00°, γ = 119.79°
Fractional coordinates of all 12 atoms:
H1 0.840 0.121 0.160
H2 0.719 0.879 0.840
H3 0.060 0.368 0.692
H4 0.308 0.368 0.940
H5 0.281 0.121 0.719
H6 0.160 0.879 0.281
H7 0.940 0.632 0.060
H8 0.692 0.632 0.308
Na1 0.500 0.000 0.500
Na2 0.250 0.500 0.250
Na3 0.750 0.500 0.750
W1 0.000 0.000 0.000

Summary:
* raw total energy: -3.8132 eV per atom
* size of the total moment: 1.00 μB per formula unit

***

Compound: NaH2W
Source: Alexandria via LeMat-Bulk
Functional: PBE
Structure: optimized geometry

a = 5.016 Å, b = 5.016 Å, c = 4.897 Å
α = 59.19°, β = 59.19°, γ = 90.00°
Fractional coordinates of all 8 atoms:
W1 0.000 0.000 0.000
W2 0.750 0.250 0.500
H1 0.875 0.920 0.750
H2 0.080 0.625 0.250
H3 0.375 0.330 0.750
H4 0.670 0.125 0.250
Na1 0.250 0.750 0.500
Na2 0.500 0.500 0.000

Summary:
* raw total energy: -4.8423 eV per atom
* polymorph energy (0 for the lowest one): 0.000 eV/atom
* size of the total moment: 0.00 μB per formula unit

***

Compound: NaH8W2
Source: Alexandria via LeMat-Bulk
Functional: PBE
Structure: optimized geometry

a = 4.904 Å, b = 4.888 Å, c = 4.885 Å
α = 122.78°, β = 90.94°, γ = 90.93°
Fractional coordinates of all 11 atoms:
H1 0.325 0.419 0.418
H2 0.896 0.694 0.329
H3 0.896 0.328 0.691
H4 0.673 0.269 0.998
H5 0.730 0.620 0.620
H6 0.671 0.998 0.266
H7 0.338 0.994 0.653
H8 0.335 0.649 0.993
W1 0.549 0.319 0.672
W2 0.549 0.673 0.320
Na1 0.038 0.005 0.006

Summary:
* raw total energy: -4.8472 eV per atom
* size of the total moment: 0.00 μB per formula unit

***

Compound: Na5Y3H12
Source: Alexandria via LeMat-Bulk
Functional: PBE
Structure: optimized geometry

a = 11.082 Å, b = 11.082 Å, c = 11.082 Å
α = 109.47°, β = 109.47°, γ = 109.47°
Fractional coordinates of all 80 atoms:
H1 0.732 0.586 0.170
H2 0.083 0.170 0.437
H3 0.583 0.937 0.670
H4 0.170 0.086 0.732
H5 0.417 0.354 0.586
H6 0.414 0.268 0.330
H7 0.937 0.354 0.268
H8 0.437 0.670 0.083
H9 0.063 0.417 0.830
H10 0.563 0.330 0.917
H11 0.146 0.732 0.563
H12 0.414 0.146 0.583
H13 0.146 0.414 0.083
H14 0.330 0.768 0.414
H15 0.232 0.670 0.086
H16 0.917 0.830 0.563
H17 0.330 0.563 0.417
H18 0.670 0.232 0.586
H19 0.854 0.586 0.917
H20 0.917 0.086 0.854
H21 0.586 0.732 0.670
H22 0.914 0.083 0.646
H23 0.830 0.914 0.268
H24 0.646 0.583 0.914
H25 0.914 0.830 0.768
H26 0.086 0.170 0.232
H27 0.063 0.646 0.732
H28 0.768 0.330 0.914
H29 0.086 0.917 0.354
H30 0.586 0.854 0.417
H31 0.232 0.563 0.646
H32 0.170 0.083 0.937
H33 0.854 0.268 0.437
H34 0.268 0.414 0.830
H35 0.768 0.437 0.354
H36 0.437 0.768 0.854
H37 0.563 0.232 0.146
H38 0.083 0.914 0.146
H39 0.646 0.063 0.232
H40 0.417 0.063 0.330
H41 0.583 0.646 0.414
H42 0.268 0.854 0.937
H43 0.354 0.937 0.768
H44 0.354 0.417 0.086
H45 0.830 0.917 0.063
H46 0.937 0.583 0.170
H47 0.670 0.437 0.583
H48 0.732 0.146 0.063
Na1 0.750 0.125 0.875
Na2 0.500 0.500 0.000
Na3 0.750 0.625 0.375
Na4 0.375 0.125 0.750
Na5 0.625 0.750 0.875
Na6 0.250 0.875 0.125
Na7 0.625 0.875 0.250
Na8 0.500 0.500 0.500
Na9 0.000 0.500 0.500
Na10 0.500 0.000 0.500
Na11 0.000 0.500 0.000
Na12 0.875 0.625 0.750
Na13 0.000 0.000 0.500
Na14 0.375 0.250 0.125
Na15 0.000 0.000 0.000
Na16 0.125 0.750 0.375
Na17 0.125 0.375 0.250
Na18 0.500 0.000 0.000
Na19 0.875 0.250 0.625
Na20 0.250 0.375 0.625
Y1 0.875 0.125 0.250
Y2 0.250 0.125 0.375
Y3 0.750 0.875 0.625
Y4 0.625 0.250 0.375
Y5 0.250 0.625 0.875
Y6 0.375 0.750 0.625
Y7 0.875 0.750 0.125
Y8 0.750 0.375 0.125
Y9 0.125 0.875 0.750
Y10 0.125 0.250 0.875
Y11 0.375 0.625 0.250
Y12 0.625 0.375 0.750

Summary:
* raw total energy: -3.5946 eV per atom
* size of the total moment: 0.00 μB per formula unit

***

Compound: NaYH
Source: Alexandria via LeMat-Bulk
Functional: PBE
Structure: optimized geometry

a = 3.620 Å, b = 3.618 Å, c = 12.793 Å
α = 73.73°, β = 81.77°, γ = 59.95°
Fractional coordinates of all 6 atoms:
Na1 0.630 0.737 0.588
Na2 0.969 0.802 0.845
H1 0.304 0.952 0.031
H2 0.632 0.928 0.396
Y1 0.966 0.313 0.342
Y2 0.637 0.221 0.097

Summary:
* raw total energy: -3.8984 eV per atom
* size of the total moment: 0.31 μB per formula unit

***

Compound: NaYH3
Source: Alexandria via LeMat-Bulk
Functional: PBE
Structure: optimized geometry

a = 4.238 Å, b = 4.238 Å, c = 4.238 Å
α = 90.00°, β = 90.00°, γ = 90.00°
Fractional coordinates of all 5 atoms:
H1 0.500 0.000 0.000
H2 0.000 0.000 0.500
H3 0.000 0.500 0.000
Y1 0.000 0.000 0.000
Na1 0.500 0.500 0.500

Summary:
* raw total energy: -3.8415 eV per atom
* polymorph energy (0 for the lowest one): 0.000 eV/atom
* size of the total moment: 0.00 μB per formula unit